A plane-wave DFT calculation with PBEsol was carried out for a relaxed PrNiSn crystal.

```
12
Lattice="4.590 0.000 0.000 0.000 7.321 0.000 0.000 0.000 7.562" Properties=species:S:1:pos:R:3 pbc="T T T"
Pr 1.148 5.943 3.570
Pr 3.443 1.377 3.992
Pr 3.443 2.283 0.211
Pr 1.148 5.038 7.351
Ni 3.443 4.240 2.447
Ni 3.443 6.741 6.228
Ni 1.148 0.580 1.334
Ni 1.148 3.080 5.115
Sn 3.443 4.369 5.146
Sn 3.443 6.612 1.365
Sn 1.148 0.709 6.197
Sn 1.148 2.952 2.416
```

Formation energy from the elements, eV/atom: -0.643
Theoretical density, g cm⁻³: 8.32



A plane-wave DFT calculation with PBEsol was carried out for a relaxed PrNiSn crystal.

```
9
Lattice="-1.769 3.525 0.747 -2.135 0.416 -7.014 -4.334 -3.228 4.972" Properties=species:S:1:pos:R:3 pbc="T T T"
Pr -2.540 -1.892 2.914
Pr -1.251 0.244 -4.111
Pr -2.678 -1.164 -0.845
Ni -4.485 -0.251 1.350
Ni 0.000 0.000 0.000
Ni -3.752 0.964 -2.645
Sn -1.414 1.866 -1.367
Sn -1.960 0.961 1.608
Sn -5.748 -0.352 -1.162
```

Formation energy from the elements, eV/atom: -0.641
Theoretical density, g cm⁻³: 8.46



A plane-wave DFT calculation with PBEsol was carried out for a relaxed Pr6Ni3Sn14 crystal.

```
23
Lattice="4.528 0.000 0.000 0.000 4.539 0.000 0.000 0.000 27.146" Properties=species:S:1:pos:R:3 pbc="T T T"
Pr 0.000 0.000 22.079
Pr 0.000 2.269 8.578
Pr 0.000 2.269 18.610
Pr 0.000 0.000 5.019
Pr 2.264 2.269 27.122
Pr 2.264 0.000 13.578
Ni 2.264 2.269 3.483
Ni 2.264 2.269 23.617
Ni 2.264 0.000 10.117
Sn 0.000 0.000 16.155
Sn 0.000 2.269 2.428
Sn 0.000 2.269 24.664
Sn 0.000 0.000 11.170
Sn 2.264 0.000 24.657
Sn 2.264 2.269 11.164
Sn 2.264 2.269 16.157
Sn 2.264 0.000 2.431
Sn 2.264 0.000 19.277
Sn 2.264 2.269 5.942
Sn 2.264 2.269 21.144
Sn 2.264 0.000 7.657
Sn 0.000 0.000 27.110
Sn 0.000 2.269 13.682
```

Formation energy from the elements, eV/atom: -0.648
Theoretical density, g cm⁻³: 7.99



A plane-wave DFT calculation with PBEsol was carried out for a relaxed PrYNi4 crystal.

```
6
Lattice="5.049 0.000 0.000 2.524 4.372 0.000 2.524 1.457 4.122" Properties=species:S:1:pos:R:3 pbc="T T T"
Pr 7.573 4.372 3.092
Y 0.000 0.000 0.000
Ni 6.318 2.183 1.543
Ni 3.780 2.183 1.543
Ni 5.049 4.380 1.543
Ni 5.049 2.915 3.615
```

Formation energy from the elements, eV/atom: -0.362
Theoretical density, g cm⁻³: 8.48